Material: Mg2Al12Pd7
Method: DFT, PBE
State: optimized geometry

Output
- Electronic total energy: -97.6 eV per formula unit
- E_form: -0.6241 eV per atom
- Total moment: 0.0000 μB/atom

Cell: 3.121 11.117 11.117 Å, 120.00 90.00 90.00°
Element x y z (fractional)
1 Pd 0.500 0.904 0.378
2 Mg 0.000 0.667 0.333
3 Al 0.000 0.951 0.217
4 Al 0.000 0.505 0.931
5 Al 0.500 0.259 0.825
6 Mg 0.500 0.000 0.000
7 Al 0.000 0.783 0.734
8 Al 0.500 0.719 0.118
9 Al 0.000 0.069 0.573
10 Al 0.500 0.398 0.281
11 Al 0.500 0.566 0.741
12 Al 0.000 0.427 0.495
13 Pd 0.000 0.748 0.945
14 Al 0.500 0.175 0.434
15 Pd 0.500 0.474 0.096
16 Pd 0.000 0.055 0.803
17 Al 0.500 0.882 0.602
18 Pd 0.500 0.622 0.526
19 Pd 0.000 0.197 0.252
20 Al 0.000 0.266 0.049
21 Pd 0.000 0.333 0.667


Material: MgAl2Pd2
Method: DFT, PBE
State: optimized geometry

Output
- Electronic total energy: -23.0 eV per formula unit
- E_form: -0.6991 eV per atom
- Total moment: 0.0000 μB/atom

Cell: 4.360 4.360 5.173 Å, 90.00 90.00 120.00°
Element x y z (fractional)
1 Pd 0.333 0.667 0.166
2 Al 0.667 0.333 0.348
3 Al 0.333 0.667 0.652
4 Pd 0.667 0.333 0.834
5 Mg 0.000 0.000 0.000


Material: Mg3AlPd
Method: DFT, PBE
State: optimized geometry

Output
- Electronic total energy: -13.5 eV per formula unit
- E_form: 0.0352 eV per atom
- Total moment: 0.0000 μB/atom
- Energy above the most stable polymorph in this dataset: 304 meV/atom

Cell: 4.962 4.962 4.962 Å, 90.00 90.00 90.00°
Element x y z (fractional)
1 Mg 0.500 0.000 0.000
2 Pd 0.000 0.000 0.000
3 Mg 0.000 0.000 0.500
4 Mg 0.000 0.500 0.000
5 Al 0.500 0.500 0.500


Material: MgAl2Pd5
Method: DFT, PBE
State: optimized geometry

Output
- Electronic total energy: -41.1 eV per formula unit
- E_form: -0.7559 eV per atom
- Total moment: 0.0000 μB/atom

Cell: 4.118 5.447 10.688 Å, 90.00 90.00 90.00°
Element x y z (fractional)
1 Al 0.500 0.672 0.640
2 Al 0.500 0.828 0.140
3 Mg 0.000 0.000 0.500
4 Pd 0.000 0.906 0.739
5 Al 0.500 0.172 0.860
6 Pd 0.000 0.406 0.761
7 Pd 0.500 0.197 0.613
8 Pd 0.000 0.500 0.500
9 Pd 0.500 0.697 0.887
10 Al 0.500 0.328 0.360
11 Pd 0.000 0.000 0.000
12 Pd 0.000 0.094 0.261
13 Pd 0.000 0.594 0.239
14 Mg 0.000 0.500 0.000
15 Pd 0.500 0.303 0.113
16 Pd 0.500 0.803 0.387


Material: MgAl4Pd5
Method: DFT, PBE
State: optimized geometry

Output
- Electronic total energy: -51.1 eV per formula unit
- E_form: -0.8594 eV per atom
- Total moment: 0.0000 μB/atom

Cell: 3.076 3.076 15.744 Å, 90.00 90.00 90.00°
Element x y z (fractional)
1 Mg 0.000 0.000 0.000
2 Pd 0.500 0.500 0.115
3 Pd 0.500 0.500 0.885
4 Pd 0.500 0.500 0.694
5 Pd 0.500 0.500 0.500
6 Al 0.000 0.000 0.403
7 Al 0.000 0.000 0.793
8 Pd 0.500 0.500 0.306
9 Al 0.000 0.000 0.597
10 Al 0.000 0.000 0.207


Material: MgAl6Pd5
Method: DFT, PBE
State: optimized geometry

Output
- Electronic total energy: -58.6 eV per formula unit
- E_form: -0.7154 eV per atom
- Total moment: 0.0000 μB/atom

Cell: 4.406 6.155 7.047 Å, 90.00 109.47 90.00°
Element x y z (fractional)
1 Al 0.500 0.272 0.000
2 Al 0.500 0.728 0.000
3 Pd 0.335 0.500 0.664
4 Pd 0.346 0.000 0.693
5 Mg 0.000 0.000 0.000
6 Al 0.827 0.749 0.652
7 Al 0.173 0.749 0.348
8 Pd 0.000 0.500 0.000
9 Al 0.827 0.251 0.652
10 Al 0.173 0.251 0.348
11 Pd 0.665 0.500 0.336
12 Pd 0.654 0.000 0.307


Material: MgAlPd14
Method: DFT, PBE
State: optimized geometry

Output
- Electronic total energy: -82.4 eV per formula unit
- E_form: -0.2741 eV per atom
- Total moment: 0.0002 μB/atom

Cell: 5.607 5.607 7.787 Å, 90.00 90.00 90.00°
Element x y z (fractional)
1 Pd 0.622 0.622 0.255
2 Pd 0.128 0.128 0.256
3 Pd 0.875 0.375 0.500
4 Pd 0.128 0.622 0.255
5 Pd 0.875 0.875 0.000
6 Pd 0.622 0.622 0.745
7 Pd 0.622 0.128 0.255
8 Pd 0.375 0.875 0.000
9 Al 0.375 0.375 0.500
10 Pd 0.375 0.375 0.000
11 Mg 0.875 0.875 0.500
12 Pd 0.622 0.128 0.745
13 Pd 0.128 0.622 0.745
14 Pd 0.875 0.375 0.000
15 Pd 0.375 0.875 0.500
16 Pd 0.128 0.128 0.744


Material: Mg3Al2Pd4
Method: DFT, PBE
State: optimized geometry

Output
- Electronic total energy: -39.6 eV per formula unit
- E_form: -0.7272 eV per atom
- Total moment: 0.0000 μB/atom

Cell: 4.401 4.402 8.462 Å, 90.01 90.03 59.97°
Element x y z (fractional)
1 Pd 0.001 0.000 0.323
2 Al 0.333 0.333 0.793
3 Mg 0.666 0.667 0.573
4 Pd 0.999 0.000 0.677
5 Pd 0.667 0.667 0.891
6 Mg 0.334 0.333 0.427
7 Pd 0.333 0.333 0.109
8 Al 0.667 0.667 0.207
9 Mg 0.000 0.000 0.000


Material: Mg2AlPd8
Method: DFT, PBE
State: optimized geometry

Output
- Electronic total energy: -54.0 eV per formula unit
- E_form: -0.5015 eV per atom
- Total moment: 0.0000 μB/atom
- Energy above the most stable polymorph in this dataset: 38 meV/atom

Cell: 4.461 5.910 7.607 Å, 112.86 107.05 90.00°
Element x y z (fractional)
1 Mg 0.191 0.691 0.382
2 Pd 0.640 0.873 0.280
3 Pd 0.360 0.593 0.720
4 Pd 0.174 0.174 0.348
5 Pd 0.640 0.407 0.280
6 Pd 0.000 0.261 0.000
7 Al 0.500 0.000 0.000
8 Pd 0.826 0.826 0.652
9 Pd 0.360 0.127 0.720
10 Mg 0.809 0.309 0.618
11 Pd 0.000 0.739 0.000


Material: MgAl3Pd4
Method: DFT, PBE
State: optimized geometry

Output
- Electronic total energy: -40.4 eV per formula unit
- E_form: -0.8544 eV per atom
- Total moment: 0.0000 μB/atom

Cell: 4.337 6.330 8.675 Å, 90.00 90.00 90.00°
Element x y z (fractional)
1 Al 0.500 0.500 0.250
2 Al 0.500 0.500 0.750
3 Al 0.000 0.000 0.000
4 Pd 0.000 0.239 0.750
5 Pd 0.000 0.239 0.250
6 Mg 0.000 0.500 0.500
7 Pd 0.500 0.239 0.500
8 Al 0.500 0.000 0.750
9 Pd 0.500 0.239 0.000
10 Pd 0.500 0.761 0.500
11 Al 0.000 0.000 0.500
12 Mg 0.000 0.500 0.000
13 Al 0.500 0.000 0.250
14 Pd 0.000 0.761 0.250
15 Pd 0.500 0.761 0.000
16 Pd 0.000 0.761 0.750


Material: MgAlPd2
Method: DFT, PBE
State: optimized geometry

Output
- Electronic total energy: -19.0 eV per formula unit
- E_form: -0.8275 eV per atom
- Total moment: 0.0000 μB/atom

Cell: 3.017 4.485 4.485 Å, 90.00 90.00 90.00°
Element x y z (fractional)
1 Pd 0.000 0.500 0.000
2 Mg 0.500 0.000 0.000
3 Pd 0.000 0.000 0.500
4 Al 0.500 0.500 0.500


Material: Mg2Al2Pd
Method: DFT, PBE
State: optimized geometry

Output
- Electronic total energy: -17.2 eV per formula unit
- E_form: -0.2618 eV per atom
- Total moment: 0.0000 μB/atom
- Energy above the most stable polymorph in this dataset: 75 meV/atom

Cell: 6.579 6.579 4.343 Å, 90.00 90.00 90.00°
Element x y z (fractional)
1 Mg 0.668 0.832 0.500
2 Al 0.640 0.140 0.000
3 Al 0.140 0.360 0.000
4 Mg 0.332 0.168 0.500
5 Mg 0.168 0.668 0.500
6 Pd 0.000 0.000 0.000
7 Al 0.360 0.860 0.000
8 Pd 0.500 0.500 0.000
9 Mg 0.832 0.332 0.500
10 Al 0.860 0.640 0.000